Record 1
Here is a geometry-optimized RbSbPtAu structure from the Alexandria database. Energies are from PBE-GGA.

Structure (CIF):
```
data_RbSbPtAu
_cell_length_a 3.985
_cell_length_b 3.985
_cell_length_c 14.490
_cell_angle_alpha 90.00
_cell_angle_beta 90.00
_cell_angle_gamma 90.00
_space_group_name_H-M_alt 'P 4/n m m'
_space_group_IT_number 129
loop_
_space_group_symop_operation_xyz
'x,y,z'
'-x,-y,-z'
'-y+1/2,x,z'
'y+1/2,-x,-z'
'-x+1/2,-y+1/2,z'
'x+1/2,y+1/2,-z'
'y,-x+1/2,z'
'-y,x+1/2,-z'
'x+1/2,-y,-z'
'-x+1/2,y,z'
'-y,-x,-z'
'y,x,z'
'-x,y+1/2,-z'
'x,-y+1/2,z'
'y+1/2,x+1/2,-z'
'-y+1/2,-x+1/2,z'
loop_
_atom_site_label
_atom_site_type_symbol
_atom_site_fract_x
_atom_site_fract_y
_atom_site_fract_z
Rb1 Rb 0.250 0.250 0.203
Sb1 Sb 0.250 0.250 0.626
Pt1 Pt 0.250 0.750 0.500
Au1 Au 0.250 0.750 0.000
```

=====

Record 2
Here is a geometry-optimized RbTaPt2Au structure from the Alexandria database. Energies are from PBE-GGA.

Structure (CIF):
```
data_RbTaPt2Au
_cell_length_a 4.935
_cell_length_b 4.935
_cell_length_c 5.041
_cell_angle_alpha 90.00
_cell_angle_beta 90.00
_cell_angle_gamma 90.00
_space_group_name_H-M_alt 'P 4/m m m'
_space_group_IT_number 123
_space_group_name_Hall '-P 4 2'
loop_
_atom_site_label
_atom_site_type_symbol
_atom_site_fract_x
_atom_site_fract_y
_atom_site_fract_z
Rb1 Rb 0.000 0.000 0.000
Ta1 Ta 0.000 0.000 0.500
Pt1 Pt 0.000 0.500 0.000
Au1 Au 0.500 0.500 0.500
```

=====

Record 3
Here is a geometry-optimized RbTcPtAu2 structure from the Alexandria database. Energies are from PBE-GGA.

Structure (CIF):
```
data_RbTcPtAu2
_cell_length_a 5.607
_cell_length_b 5.607
_cell_length_c 5.079
_cell_angle_alpha 90.00
_cell_angle_beta 90.00
_cell_angle_gamma 90.00
_space_group_name_H-M_alt 'P 4/m m m'
_space_group_IT_number 123
_space_group_name_Hall '-P 4 2'
loop_
_atom_site_label
_atom_site_type_symbol
_atom_site_fract_x
_atom_site_fract_y
_atom_site_fract_z
Rb1 Rb 0.000 0.000 0.000
Tc1 Tc 0.500 0.500 0.500
Pt1 Pt 0.000 0.000 0.500
Au1 Au 0.000 0.500 0.000
```

=====

Record 4
Here is a geometry-optimized RbTcPt2Au structure from the Alexandria database. Energies are from PBE-GGA.

Structure (CIF):
```
data_RbTcPt2Au
_cell_length_a 5.184
_cell_length_b 5.184
_cell_length_c 5.080
_cell_angle_alpha 90.00
_cell_angle_beta 90.00
_cell_angle_gamma 90.00
_space_group_name_H-M_alt 'P 4/m m m'
_space_group_IT_number 123
_space_group_name_Hall '-P 4 2'
loop_
_atom_site_label
_atom_site_type_symbol
_atom_site_fract_x
_atom_site_fract_y
_atom_site_fract_z
Rb1 Rb 0.000 0.000 0.000
Tc1 Tc 0.500 0.500 0.000
Pt1 Pt 0.000 0.500 0.500
Au1 Au 0.500 0.500 0.500
```

=====

Number 1: total DFT energy (no corrections) -3.898 eV per atom. Number 2: total DFT energy (no corrections) -2.912 eV per atom. Number 3: total DFT energy (no corrections) -2.534 eV per atom. Number 4: total DFT energy (no corrections) -4.150 eV per atom.